First-principles (PBE-GGA) data for crystalline ZrCd3Au at its relaxed geometry, as listed in Alexandria via LeMat-Bulk.

Properties
Total DFT energy (no corrections) in eV per atom: -3.088
Polymorph energy (0 for the lowest one) in meV per atom: 0
Magnetic moment in μB/f.u.: 0.00
Energy of formation in eV per atom: -0.17

```
10
Lattice="-1.5652 2.4431 -0.9612 3.4094 -0.4433 -6.6786 -8.0127 -6.5010 1.3834" Properties=species:S:1:pos:R:3 pbc="T T T"
Cd -6.6683 -3.0407 -1.7303
Zr -5.9443 -5.2931 -3.7746
Cd 0.4998 -1.4604 -4.5260
Cd -4.1441 -1.0677 -0.8256
Cd -1.6577 -2.1126 -2.6704
Au -1.1994 -0.8283 -0.1524
Zr -0.2242 0.7920 -2.4818
Cd -4.5108 -2.3886 -3.5859
Au -4.9691 -3.6728 -6.1039
Cd -2.0244 -3.4335 -5.4308
```


First-principles (PBE-GGA) data for crystalline ZrCd2Au3 at its relaxed geometry, as listed in Alexandria via LeMat-Bulk.

Properties
Total DFT energy (no corrections) in eV per atom: -3.697
Magnetic moment in μB/f.u.: 0.00
Energy of formation in eV per atom: -0.33

```
12
Lattice="4.8442 0.0160 0.0192 2.4467 7.2738 0.0097 -0.0270 0.0000 6.8079" Properties=species:S:1:pos:R:3 pbc="T T T"
Au 2.4021 0.0080 5.0407
Au 2.4330 4.6978 1.5768
Au 4.8309 2.5920 5.2600
Au 2.4151 0.0080 1.7864
Zr 4.8618 5.0311 0.0193
Cd 2.4160 2.4280 3.4136
Cd 4.8479 4.8618 3.4232
Cd 0.0000 0.0000 0.0000
Au 4.8455 2.5920 1.5863
Cd -0.0135 0.0000 3.4039
Au 2.4184 4.6978 5.2504
Zr 2.4291 2.2587 0.0096
```


First-principles (PBE-GGA) data for crystalline ZrCdAu2 at its relaxed geometry, as listed in Alexandria via LeMat-Bulk.

Properties
Total DFT energy (no corrections) in eV per atom: -4.310
Magnetic moment in μB/f.u.: 0.00
Energy of formation in eV per atom: -0.31

```
4
Lattice="4.7779 0.0000 0.0000 2.3890 4.1378 0.0000 2.3890 1.3793 3.9012" Properties=species:S:1:pos:R:3 pbc="T T T"
Au 2.3890 1.3793 0.9753
Au 0.0000 0.0000 0.0000
Zr 7.1669 4.1378 2.9259
Cd 4.7779 2.7585 1.9506
```


First-principles (PBE-GGA) data for crystalline ZrCd4Au5 at its relaxed geometry, as listed in Alexandria via LeMat-Bulk.

Properties
Total DFT energy (no corrections) in eV per atom: -3.126
Magnetic moment in μB/f.u.: 0.31
Energy of formation in eV per atom: -0.27

```
10
Lattice="3.3246 0.0000 0.0000 0.0000 3.3246 0.0000 0.0000 0.0000 17.7944" Properties=species:S:1:pos:R:3 pbc="T T T"
Zr 0.0000 0.0000 0.0000
Cd 0.0000 0.0000 7.1360
Au 1.6623 1.6623 8.8972
Cd 0.0000 0.0000 14.2018
Au 1.6623 1.6623 12.4180
Cd 0.0000 0.0000 3.5926
Au 1.6623 1.6623 16.0160
Au 1.6623 1.6623 5.3763
Cd 0.0000 0.0000 10.6583
Au 1.6623 1.6623 1.7784
```


First-principles (PBE-GGA) data for crystalline Zr3CdAu3 at its relaxed geometry, as listed in Alexandria via LeMat-Bulk.

Properties
Total DFT energy (no corrections) in eV per atom: -5.488
Magnetic moment in μB/f.u.: 0.62
Energy of formation in eV per atom: -0.29

```
28
Lattice="-8.3541 -0.8764 0.2823 -0.1098 -1.6106 -8.2482 0.9142 -8.2023 1.5894" Properties=species:S:1:pos:R:3 pbc="T T T"
Zr -3.7952 -1.6697 -4.3140
Cd -0.2387 -8.3384 -3.6535
Au -6.7240 -1.7296 -4.6057
Zr -1.6285 -3.7838 -5.9561
Au 0.3646 -6.1148 -5.6473
Zr -1.6815 -7.0294 -0.4526
Au -3.9622 -4.9594 -4.9887
Zr -4.1672 -4.2668 0.4802
Zr -6.6912 -4.4984 -4.7876
Zr -5.4036 -7.6506 -4.5639
Cd -2.8909 -4.0931 -2.4417
Au -4.0340 -1.4733 -1.3864
Au -2.8592 -6.9390 -2.9763
Au -7.4578 -4.8401 -7.4326
Zr 0.0526 -5.2626 -2.8468
Zr -6.3859 -2.9147 -1.7804
Cd -6.8247 -6.0239 0.2644
Au -5.4413 -5.4638 -2.3920
Au -1.2472 -4.3356 0.1124
Au -7.4678 -8.8311 -0.7306
Zr -1.2985 -1.8385 -1.0967
Zr -7.1897 -10.1795 -6.0724
Au -1.6869 -9.8495 -5.8677
Zr -2.2168 -7.1329 -5.6689
Au -4.1808 -7.0790 1.3507
Cd -5.1451 -2.9232 -6.9222
Zr -4.8930 -7.9088 -1.1997
Au -0.6017 -2.5205 -3.6947
```


First-principles (PBE-GGA) data for crystalline Ce4Au3 at its relaxed geometry, as listed in Alexandria via LeMat-Bulk.

Properties
Total DFT energy (no corrections) in eV per atom: -5.296
Polymorph energy (0 for the lowest one) in meV per atom: 0
Magnetic moment in μB/f.u.: 4.18
Energy of formation in eV per atom: -0.50

```
14
Lattice="6.4474 0.0000 0.0000 -2.1491 7.9093 0.0000 -2.1491 -3.9546 6.8497" Properties=species:S:1:pos:R:3 pbc="T T T"
Au 4.6910 2.7683 0.7991
Ce 0.8384 0.8099 5.9379
Ce -0.8384 5.5473 2.2676
Ce -1.3108 0.7828 3.1793
Au -0.3928 -1.8784 4.8518
Ce 2.9875 -1.5927 4.5821
Au -2.5419 1.1864 6.0505
Au 0.3928 3.2626 4.0527
Ce 0.0000 0.0000 0.0000
Au 1.7564 0.6921 2.7970
Ce 3.4599 3.1718 3.6703
Ce 1.3108 3.1448 0.9117
Ce 3.2237 0.0000 0.0000
Au 2.5419 5.8331 1.9978
```


First-principles (PBE-GGA) data for crystalline CeAu at its relaxed geometry, as listed in Alexandria via LeMat-Bulk.

Properties
Total DFT energy (no corrections) in eV per atom: -5.234
Magnetic moment in μB/f.u.: 0.97
Energy of formation in eV per atom: -0.63

```
4
Lattice="6.0306 0.0019 0.0000 -4.7863 3.6688 0.0000 0.0000 0.0000 4.7275" Properties=species:S:1:pos:R:3 pbc="T T T"
Ce 4.5225 0.5132 3.5456
Au -0.3074 2.1505 1.1819
Au 1.5518 1.5202 3.5456
Ce -3.2782 3.1576 1.1819
```


First-principles (PBE-GGA) data for crystalline Ce3Au2 at its relaxed geometry, as listed in Alexandria via LeMat-Bulk.

Properties
Total DFT energy (no corrections) in eV per atom: -5.264
Magnetic moment in μB/f.u.: 0.50
Energy of formation in eV per atom: -0.39

```
20
Lattice="-1.0897 -2.3579 -2.6713 -3.5694 -7.5665 8.1348 -10.7096 5.0022 -0.0464" Properties=species:S:1:pos:R:3 pbc="T T T"
Au -10.1350 -1.8361 1.8574
Au -11.2857 1.4218 2.0496
Ce -12.4055 -3.4286 4.1891
Ce -3.4635 -4.2690 1.2832
Au -5.2936 0.2717 0.6204
Ce -7.7142 0.5727 -1.2564
Ce -8.6106 -2.4956 4.4161
Ce -7.6546 -5.4949 6.6735
Ce -4.1252 -6.8398 6.4208
Ce -8.4320 0.7658 1.4645
Au -3.1479 -0.8769 -1.8397
Ce -6.7581 -2.4266 1.0010
Au -12.2208 -4.0453 7.2567
Ce -11.2435 1.9176 -1.0037
Ce -6.9367 -5.6880 3.9526
Ce -11.9052 -0.6532 4.1339
Ce -2.9633 -1.4936 1.2279
Au -10.0751 -5.1939 4.7967
Au -4.0830 -6.3440 3.3675
Au -5.2337 -3.0861 3.5597
```


First-principles (PBE-GGA) data for crystalline Ce4Au3 at its relaxed geometry, as listed in Alexandria via LeMat-Bulk.

Properties
Total DFT energy (no corrections) in eV per atom: -5.288
Polymorph energy (0 for the lowest one) in meV per atom: 8
Magnetic moment in μB/f.u.: 3.22
Energy of formation in eV per atom: -0.49

```
7
Lattice="-3.2976 0.2326 1.7306 1.6156 -0.9759 3.2187 3.0639 12.6250 0.1373" Properties=species:S:1:pos:R:3 pbc="T T T"
Ce 2.0932 6.6067 3.1272
Au 1.4619 3.1125 2.3738
Au -0.0800 8.7692 2.7128
Ce -0.7113 5.2751 1.9594
Ce -1.3356 1.8444 1.2347
Ce 2.7175 10.0374 3.8519
Au 0.8078 -0.4879 1.6093
```


First-principles (PBE-GGA) data for crystalline Ce3Au at its relaxed geometry, as listed in Alexandria via LeMat-Bulk.

Properties
Total DFT energy (no corrections) in eV per atom: -5.469
Magnetic moment in μB/f.u.: 1.39
Energy of formation in eV per atom: -0.20

```
4
Lattice="4.5365 0.0000 0.0000 0.0000 4.5365 0.0000 -2.2683 -2.2683 4.8732" Properties=species:S:1:pos:R:3 pbc="T T T"
Ce 2.2683 2.2683 0.0000
Ce 2.2683 0.0000 2.4366
Ce 0.0000 2.2683 2.4366
Au 0.0000 0.0000 0.0000
```


First-principles (PBE-GGA) data for crystalline Ce2Au at its relaxed geometry, as listed in Alexandria via LeMat-Bulk.

Properties
Total DFT energy (no corrections) in eV per atom: -5.457
Magnetic moment in μB/f.u.: 0.35
Energy of formation in eV per atom: -0.41

```
12
Lattice="4.4107 0.0000 0.0000 0.0000 6.6951 0.0000 0.0000 0.0000 10.3409" Properties=species:S:1:pos:R:3 pbc="T T T"
Au 3.3080 5.2010 1.1636
Ce 3.3080 5.4159 4.2714
Au 1.1027 1.4941 9.1773
Ce 1.1027 3.8867 3.2633
Au 1.1027 4.8417 6.3340
Au 3.3080 1.8535 4.0069
Ce 1.1027 0.5392 1.9071
Ce 1.1027 1.2792 6.0694
Ce 3.3080 2.0683 0.8990
Ce 3.3080 6.1560 8.4338
Ce 3.3080 2.8084 7.0776
Ce 1.1027 4.6268 9.4419
```


First-principles (PBE-GGA) data for crystalline Ce3Au11 at its relaxed geometry, as listed in Alexandria via LeMat-Bulk.

Properties
Total DFT energy (no corrections) in eV per atom: -4.318
Magnetic moment in μB/f.u.: 3.18
Energy of formation in eV per atom: -0.47

```
14
Lattice="4.5114 0.0000 1.2642 1.4548 7.7938 3.4901 0.0069 -0.3112 8.6570" Properties=species:S:1:pos:R:3 pbc="T T T"
Au 1.4454 4.5468 3.5237
Au 4.4241 7.3636 10.2572
Au 4.5277 2.9357 9.8876
Ce 3.5985 2.2398 4.5218
Au 5.1633 6.4936 7.6194
Ce 0.0000 0.0000 0.0000
Au 3.2467 5.1975 5.7773
Au 4.0229 5.1178 11.6888
Au 1.5489 0.1190 3.1542
Au 2.7264 2.2851 7.6340
Au 1.9501 2.3648 1.7225
Au 0.8098 0.9889 5.7919
Au 0.7308 3.7413 6.0736
Ce 2.3746 5.2428 8.8895
```


First-principles (PBE-GGA) data for crystalline Ce3Au at its relaxed geometry, as listed in Alexandria via LeMat-Bulk.

Properties
Total DFT energy (no corrections) in eV per atom: -5.519
Magnetic moment in μB/f.u.: 1.19
Energy of formation in eV per atom: -0.25

```
8
Lattice="-2.3486 -2.2787 -2.3637 4.7295 -0.2734 -4.4357 1.5143 -6.5980 4.8563" Properties=species:S:1:pos:R:3 pbc="T T T"
Au 2.1053 -3.9039 -3.4988
Ce 0.0029 -4.5769 -0.7610
Ce -0.0088 -7.7005 2.2620
Ce 3.9040 -1.4496 -4.2050
Ce 1.4296 -1.4315 -1.7639
Au 1.7898 -5.2462 1.5558
Ce 2.4656 -7.7186 -0.1791
Ce 3.8923 -4.5732 -1.1821
```


First-principles (PBE-GGA) data for crystalline Ce2Au3 at its relaxed geometry, as listed in Alexandria via LeMat-Bulk.

Properties
Total DFT energy (no corrections) in eV per atom: -4.821
Polymorph energy (0 for the lowest one) in meV per atom: 170
Magnetic moment in μB/f.u.: 2.25
Energy of formation in eV per atom: -0.48

```
20
Lattice="-2.3080 -7.1054 4.8083 -2.1678 -1.3512 -8.5093 8.7649 1.2979 0.6531" Properties=species:S:1:pos:R:3 pbc="T T T"
Ce -2.4131 -4.7678 -1.4854
Au 4.9963 -1.4792 -2.6623
Ce 1.9799 -3.6820 -2.1701
Au 4.8911 -0.1470 -5.9391
Au 2.5913 -5.7062 -4.3139
Ce 5.0479 0.7475 0.3761
Ce 5.1174 -3.0624 -5.2207
Au -1.8244 -7.7208 -1.4796
Au 0.4036 -5.1117 3.7226
Ce 3.0638 -3.0064 2.0845
Au 3.1800 -1.4645 -0.4993
Au 3.8154 -4.9242 -0.1118
Au -0.5320 -4.1346 -3.7677
Ce 0.6655 0.0985 0.0496
Au 2.2613 -2.2143 -4.7843
Au -2.1894 -5.6676 1.3794
Au 7.5642 -0.7427 -0.3413
Au 0.5770 -3.6396 0.5092
Ce -1.2591 -1.2151 -3.8896
Ce 0.6649 -6.5885 1.1116
```


First-principles (PBE-GGA) data for crystalline Ce3Au2 at its relaxed geometry, as listed in Alexandria via LeMat-Bulk.

Properties
Total DFT energy (no corrections) in eV per atom: -5.265
Magnetic moment in μB/f.u.: 2.90
Energy of formation in eV per atom: -0.39

```
10
Lattice="5.8183 -0.7951 0.0000 -1.1002 5.7684 0.0000 0.0000 0.0000 8.0339" Properties=species:S:1:pos:R:3 pbc="T T T"
Ce 1.3718 3.4232 5.2043
Ce -0.4749 5.1751 6.6579
Ce 1.0485 3.7299 2.4217
Ce 5.1929 -0.2018 2.6410
Au 2.5941 4.3308 7.9069
Ce 3.6695 1.2434 6.4386
Au 4.1882 2.8185 3.8900
Au 2.1240 0.6425 3.8900
Ce 3.3463 1.5501 1.1873
Au 0.5298 2.1548 7.9069
```


First-principles (PBE-GGA) data for crystalline Ce5Au at its relaxed geometry, as listed in Alexandria via LeMat-Bulk.

Properties
Total DFT energy (no corrections) in eV per atom: -5.597
Polymorph energy (0 for the lowest one) in meV per atom: 39
Magnetic moment in μB/f.u.: 0.00
Energy of formation in eV per atom: -0.11

```
6
Lattice="4.2389 0.0000 0.0000 0.0000 6.8511 0.8159 0.0000 0.8202 5.1922" Properties=species:S:1:pos:R:3 pbc="T T T"
Ce 2.1195 2.9484 4.8606
Ce 0.0000 5.0720 3.9990
Ce 2.1195 4.7228 1.1476
Au 2.1195 0.4101 2.5961
Ce 0.0000 0.0000 0.0000
Ce 0.0000 2.5993 2.0092
```


First-principles (PBE-GGA) data for crystalline Ce5Au at its relaxed geometry, as listed in Alexandria via LeMat-Bulk.

Properties
Total DFT energy (no corrections) in eV per atom: -5.636
Polymorph energy (0 for the lowest one) in meV per atom: 0
Magnetic moment in μB/f.u.: 0.00
Energy of formation in eV per atom: -0.15

```
6
Lattice="-1.4296 1.3675 -2.6298 -0.1499 -4.8896 -2.4610 -7.4372 0.9983 4.5620" Properties=species:S:1:pos:R:3 pbc="T T T"
Au 0.0000 0.0000 0.0000
Ce -0.7898 -1.7611 -2.5454
Ce -5.1202 -0.9859 2.2708
Ce -3.1231 0.2200 -0.2468
Ce -5.8935 -2.7438 -0.2820
Ce -2.4669 -2.9054 -0.1697
```


First-principles (PBE-GGA) data for crystalline Ce3Au at its relaxed geometry, as listed in Alexandria via LeMat-Bulk.

Properties
Total DFT energy (no corrections) in eV per atom: -5.552
Magnetic moment in μB/f.u.: 0.53
Energy of formation in eV per atom: -0.28

```
8
Lattice="-6.9531 -1.2419 0.0593 -3.4192 -2.0771 -4.9740 1.7375 -5.6662 -0.3225" Properties=species:S:1:pos:R:3 pbc="T T T"
Ce -3.4785 -6.4533 -4.7516
Au -1.8715 -5.8361 -1.9612
Ce -5.1563 -2.5319 -0.4857
Ce -7.1329 -6.7159 -4.5384
Au -6.7632 -3.1491 -3.2761
Ce -1.5018 -2.2693 -0.6989
Ce -5.6357 -5.6652 -2.0838
Ce -2.9990 -3.3201 -3.1535
```


First-principles (PBE-GGA) data for crystalline Ce3Au at its relaxed geometry, as listed in Alexandria via LeMat-Bulk.

Properties
Total DFT energy (no corrections) in eV per atom: -5.542
Magnetic moment in μB/f.u.: 0.01
Energy of formation in eV per atom: -0.27

```
4
Lattice="3.3630 0.0000 0.0000 0.0000 5.5300 0.0000 -1.6815 -2.7650 5.2619" Properties=species:S:1:pos:R:3 pbc="T T T"
Ce 0.0000 2.3038 2.6448
Ce 1.6815 2.3044 0.0000
Ce 1.6815 -0.4612 2.6170
Au 0.0000 5.0696 0.0000
```


First-principles (PBE-GGA) data for crystalline Ce3Au5 at its relaxed geometry, as listed in Alexandria via LeMat-Bulk.

Properties
Total DFT energy (no corrections) in eV per atom: -4.892
Magnetic moment in μB/f.u.: 3.12
Energy of formation in eV per atom: -0.62

```
16
Lattice="5.6947 0.0000 1.8932 2.8474 7.3322 0.9466 0.0501 0.0000 9.3610" Properties=species:S:1:pos:R:3 pbc="T T T"
Au 4.4734 0.7393 2.5919
Ce 7.3298 6.4289 10.2635
Ce 2.8474 2.8800 0.9466
Au 1.2714 0.7393 8.6623
Au 4.5915 5.2887 9.2874
Ce 5.0434 2.7628 4.8312
Au 6.8481 5.2887 3.8600
Au 5.6947 3.6100 1.8932
Ce 6.3962 2.7628 8.3162
Au 2.1264 1.6226 3.7957
Au 3.4323 4.4054 6.9180
Ce 4.1097 6.4289 2.8839
Au 3.6184 1.6226 7.4585
Ce 5.7198 6.5461 6.5737
Au 2.3125 4.4054 4.3362
Au 2.8724 7.2761 5.6271
```